First-principles (PBE-GGA) data for crystalline ReHgRu2 at its relaxed geometry, as listed in Alexandria via LeMat-Bulk.

a b c (Å): 2.8211 3.7672 5.9673
angles (deg): 90.00 90.00 90.00
Last column: nearest neighbours and their distance in Å.
Sites, in units of the cell vectors:
Hg (0.5000, 0.5000, 0.2500)  2 Hg 2.82, 8 Ru 2.89, 2 Re 2.98
Re (0.5000, 0.5000, 0.7500)  8 Ru 2.69, 2 Re 2.82, 2 Hg 2.98
Ru (0.0000, 0.0000, 0.9692)  3 Ru 2.62-2.82, 4 Re 2.69, 4 Hg 2.89
Ru (0.0000, 0.0000, 0.5308)  3 Ru 2.62-2.82, 4 Re 2.69, 4 Hg 2.89

Theoretical density (Mg/m³): 15.42
SG: Pmmm (47)
Total energy (eV for the cell shown): -29.801
Calculated formation energy (eV/atom): 0.38



First-principles (PBE-GGA) data for crystalline Re4HgRu at its relaxed geometry, as listed in Alexandria via LeMat-Bulk.

a b c (Å): 5.2003 5.2003 5.2003
angles (deg): 60.00 60.00 60.00
Last column: nearest neighbours and their distance in Å.
Sites, in units of the cell vectors:
Re (0.8767, 0.3744, 0.3744)  6 Re 2.59-2.61
Re (0.3744, 0.3744, 0.8767)  6 Re 2.59-2.61
Re (0.3744, 0.8767, 0.3744)  6 Re 2.59-2.61
Re (0.3744, 0.3744, 0.3744)  6 Re 2.59-2.61
Hg (0.0000, 0.0000, 0.0000)  12 Re 3.05, 4 Ru 3.18
Ru (0.7500, 0.7500, 0.7500)  12 Re 3.05, 4 Hg 3.18

Theoretical density (Mg/m³): 17.48
SG: F-43m (216)
Total energy (eV for the cell shown): -55.123
Calculated formation energy (eV/atom): 0.71



First-principles (PBE-GGA) data for crystalline ReHgRu2 at its relaxed geometry, as listed in Alexandria via LeMat-Bulk.

a b c (Å): 5.6799 5.6799 5.6799
angles (deg): 151.42 131.69 57.10
Last column: nearest neighbours and their distance in Å.
Sites, in units of the cell vectors:
Hg (0.5022, 0.5022, 0.0000)  4 Ru 2.72, 2 Hg 2.80
Re (0.7797, 0.2797, 0.5000)  6 Ru 2.57-2.77, 2 Re 2.80
Ru (0.9959, 0.9959, 0.0000)  2 Re 2.57, 4 Ru 2.66-2.80, 4 Hg 2.72
Ru (0.2223, 0.7223, 0.5000)  4 Ru 2.66-2.80, 4 Re 2.77

Theoretical density (Mg/m³): 15.04
SG: Imm2 (44)
Total energy (eV for the cell shown): -28.788
Calculated formation energy (eV/atom): 0.63



First-principles (PBE-GGA) data for crystalline ReHgRu2 at its relaxed geometry, as listed in Alexandria via LeMat-Bulk.

a b c (Å): 2.7633 2.7633 9.5798
angles (deg): 90.00 90.00 117.77
Last column: nearest neighbours and their distance in Å.
Sites, in units of the cell vectors:
Hg (0.0000, 0.0000, 0.4955)  6 Hg 2.76-2.86, 2 Ru 2.89, 2 Re 3.01
Re (0.5000, 0.5000, 0.7726)  2 Ru 2.60, 6 Re 2.76-2.86
Ru (0.0000, 0.0000, 0.9992)  2 Re 2.60, 8 Ru 2.65-2.86
Ru (0.5000, 0.5000, 0.2327)  8 Ru 2.65-2.86, 2 Hg 2.89

Theoretical density (Mg/m³): 15.11
SG: Cmm2 (35)
Total energy (eV for the cell shown): -28.670
Calculated formation energy (eV/atom): 0.66



First-principles (PBE-GGA) data for crystalline Re2HgRu at its relaxed geometry, as listed in Alexandria via LeMat-Bulk.

a b c (Å): 4.9733 4.9733 4.8131
angles (deg): 79.39 79.39 33.24
Last column: nearest neighbours and their distance in Å.
Sites, in units of the cell vectors:
Hg (0.2500, 0.2500, 0.2500)  4 Ru 2.80, 6 Re 2.83-2.96, 2 Hg 2.84
Re (0.0129, 0.0129, 0.9753)  4 Re 2.64-2.84, 3 Ru 2.71-2.92, 1 Hg 2.83
Re (0.4871, 0.4871, 0.5247)  4 Re 2.64-2.84, 3 Ru 2.71-2.92, 1 Hg 2.83
Ru (0.7500, 0.7500, 0.7500)  6 Re 2.71-2.92, 4 Hg 2.80, 2 Ru 2.84

Theoretical density (Mg/m³): 17.48
SG: C2/m (12)
Total energy (eV for the cell shown): -32.313
Calculated formation energy (eV/atom): 0.54



First-principles (PBE-GGA) data for crystalline Re2HgRu at its relaxed geometry, as listed in Alexandria via LeMat-Bulk.

a b c (Å): 4.8427 4.8427 4.8427
angles (deg): 131.14 131.14 71.59
Last column: nearest neighbours and their distance in Å.
Sites, in units of the cell vectors:
Hg (0.7500, 0.2500, 0.5000)  4 Ru 2.81, 8 Re 2.81-2.83
Re (0.0000, 0.0000, 0.0000)  4 Hg 2.81, 4 Re 2.81, 4 Ru 2.83
Re (0.2500, 0.7500, 0.5000)  4 Re 2.81, 4 Ru 2.81, 4 Hg 2.83
Ru (0.5000, 0.5000, 0.0000)  8 Re 2.81-2.83, 4 Hg 2.81

Theoretical density (Mg/m³): 17.76
SG: I-4m2 (119)
Total energy (eV for the cell shown): -31.804
Calculated formation energy (eV/atom): 0.67



First-principles (PBE-GGA) data for crystalline ReHgRu2 at its relaxed geometry, as listed in Alexandria via LeMat-Bulk.

a b c (Å): 9.4267 9.4267 9.4267
angles (deg): 17.10 17.10 17.10
Last column: nearest neighbours and their distance in Å.
Sites, in units of the cell vectors:
Hg (0.5013, 0.5013, 0.5013)  6 Hg 2.80, 3 Ru 2.96, 3 Re 3.05
Re (0.7419, 0.7419, 0.7419)  3 Ru 2.65, 6 Re 2.80
Ru (0.0000, 0.0000, 0.0000)  3 Re 2.65, 9 Ru 2.68-2.80
Ru (0.2568, 0.2568, 0.2568)  9 Ru 2.68-2.80, 3 Hg 2.96

Theoretical density (Mg/m³): 15.48
SG: R3m (160)
Total energy (eV for the cell shown): -29.756
Calculated formation energy (eV/atom): 0.39



First-principles (PBE-GGA) data for crystalline ReHgRu2 at its relaxed geometry, as listed in Alexandria via LeMat-Bulk.

a b c (Å): 2.7709 2.7709 9.4321
angles (deg): 90.00 90.00 116.85
Last column: nearest neighbours and their distance in Å.
Sites, in units of the cell vectors:
Hg (0.5000, 0.5000, 0.2500)  6 Hg 2.77-2.90, 4 Ru 2.93
Re (0.5000, 0.5000, 0.7500)  4 Ru 2.61, 6 Re 2.77-2.90
Ru (0.0000, 0.0000, 0.9801)  2 Re 2.61, 6 Ru 2.77-2.90
Ru (0.0000, 0.0000, 0.5199)  2 Re 2.61, 6 Ru 2.77-2.90

Theoretical density (Mg/m³): 15.14
SG: Cmmm (65)
Total energy (eV for the cell shown): -29.145
Calculated formation energy (eV/atom): 0.54